{
  "formula": "Ba2CoRh",
  "functional": "GGA-PBE",
  "state": "relaxed",
  "lattice_angstrom": [[3.792, 0.000, 0.000], [0.000, 3.792, 0.000], [0.000, 0.000, 7.880]],
  "species": ["Ba", "Ba", "Co", "Rh"],
  "fractional_positions": [[0.000, 0.000, 0.241], [0.000, 0.000, 0.759], [0.500, 0.500, 0.500], [0.500, 0.500, 0.000]],
  "dos_ef_per_ev_fu": 6.7,
  "formation_energy_kj_per_mol_atoms": 42,
  "total_magnetization_mub_per_atom": 0.421,
  "spacegroup": "P4/mmm, No. 123"
}

---

{
  "formula": "Sr2Ga4Pd3Rh",
  "functional": "GGA-PBE",
  "state": "relaxed",
  "lattice_angstrom": [[4.354, 0.000, 0.000], [0.000, 4.354, 0.000], [0.000, 0.000, 10.605]],
  "species": ["Sr", "Sr", "Ga", "Ga", "Ga", "Ga", "Pd", "Pd", "Pd", "Rh"],
  "fractional_positions": [[0.000, 0.500, 0.245], [0.500, 0.000, 0.755], [0.000, 0.000, 0.500], [0.000, 0.500, 0.878], [0.500, 0.000, 0.122], [0.500, 0.500, 0.500], [0.000, 0.000, 0.000], [0.000, 0.500, 0.633], [0.500, 0.000, 0.367], [0.500, 0.500, 0.000]],
  "dos_ef_per_ev_fu": 4.3,
  "formation_energy_kj_per_mol_atoms": -70,
  "total_magnetization_mub_per_atom": 0.000,
  "spacegroup": "P-4m2, No. 115"
}

---

{
  "formula": "CsMg2Hg10",
  "functional": "GGA-PBE",
  "state": "relaxed",
  "lattice_angstrom": [[0.000, 7.074, 8.151], [3.164, 0.000, 8.151], [3.164, 7.074, 0.000]],
  "species": ["Cs", "Mg", "Mg", "Hg", "Hg", "Hg", "Hg", "Hg", "Hg", "Hg", "Hg", "Hg", "Hg"],
  "fractional_positions": [[0.000, 0.000, 0.000], [0.000, 0.500, 0.000], [0.500, 0.000, 0.500], [0.000, 0.000, 0.500], [0.010, 0.347, 0.653], [0.264, 0.493, 0.507], [0.347, 0.010, 0.990], [0.493, 0.264, 0.736], [0.500, 0.500, 0.000], [0.507, 0.736, 0.264], [0.653, 0.990, 0.010], [0.736, 0.507, 0.493], [0.990, 0.653, 0.347]],
  "dos_ef_per_ev_fu": 4.8,
  "formation_energy_kj_per_mol_atoms": -11,
  "total_magnetization_mub_per_atom": 0.000,
  "spacegroup": "Fmmm, No. 69"
}

---

{
  "formula": "Ca4TeN",
  "functional": "GGA-PBE",
  "state": "relaxed",
  "lattice_angstrom": [[7.758, -3.137, 0.000], [7.758, 3.137, 0.000], [-0.429, 0.000, 7.448]],
  "species": ["Ca", "Ca", "Ca", "Ca", "Ca", "Ca", "Ca", "Ca", "Te", "Te", "N", "N"],
  "fractional_positions": [[0.064, 0.179, 0.472], [0.179, 0.064, 0.972], [0.296, 0.313, 0.246], [0.313, 0.296, 0.746], [0.687, 0.704, 0.254], [0.704, 0.687, 0.754], [0.821, 0.936, 0.028], [0.936, 0.821, 0.528], [0.286, 0.714, 0.250], [0.714, 0.286, 0.750], [0.000, 0.500, 0.500], [0.500, 0.000, 0.000]],
  "dos_ef_per_ev_fu": 1.5,
  "e_form_raw_ev_per_atom": -0.727,
  "total_magnetization_mub_per_atom": 0.159,
  "spacegroup": "C2/c, No. 15"
}

---

{
  "formula": "TcTe2P",
  "functional": "GGA-PBE",
  "state": "relaxed",
  "lattice_angstrom": [[3.375, 0.000, 0.000], [0.000, 4.594, 0.000], [0.000, 0.000, 5.232]],
  "species": ["Tc", "Te", "Te", "P"],
  "fractional_positions": [[0.000, 0.000, 0.000], [0.000, 0.500, 0.500], [0.500, 0.500, 0.000], [0.500, 0.000, 0.500]],
  "dos_ef_per_ev_fu": 3.7,
  "e_form_raw_ev_per_atom": 0.826,
  "total_magnetization_mub_per_atom": 0.296,
  "spacegroup": "Pmmm, No. 47"
}

---

{
  "formula": "KWCl2",
  "functional": "GGA-PBE",
  "state": "relaxed",
  "lattice_angstrom": [[0.000, 3.402, 3.402], [3.402, 0.000, 3.402], [3.402, 3.402, 0.000]],
  "species": ["K", "W", "Cl", "Cl"],
  "fractional_positions": [[0.000, 0.000, 0.000], [0.500, 0.500, 0.500], [0.250, 0.250, 0.250], [0.750, 0.750, 0.750]],
  "dos_ef_per_ev_fu": 2.8,
  "e_form_raw_ev_per_atom": 0.692,
  "total_magnetization_mub_per_atom": 0.243,
  "spacegroup": "Fm-3m, No. 225"
}

---

{
  "formula": "Cs2Ca2Cr",
  "functional": "GGA-PBE",
  "state": "relaxed",
  "lattice_angstrom": [[-2.504, 2.504, 12.546], [2.504, -2.504, 12.546], [2.504, 2.504, -12.546]],
  "species": ["Cs", "Cs", "Ca", "Ca", "Cr"],
  "fractional_positions": [[0.090, 0.090, 0.000], [0.910, 0.910, 0.000], [0.250, 0.750, 0.500], [0.750, 0.250, 0.500], [0.500, 0.500, 0.000]],
  "dos_ef_per_ev_fu": 4.5,
  "formation_energy_kj_per_mol_atoms": 74,
  "total_magnetization_mub_per_atom": 1.170,
  "spacegroup": "I4/mmm, No. 139"
}

---

{
  "formula": "TaCrRe2",
  "functional": "GGA-PBE",
  "state": "relaxed",
  "lattice_angstrom": [[2.725, 0.000, 0.000], [0.000, 4.353, 0.000], [-0.954, 0.000, 5.067]],
  "species": ["Ta", "Cr", "Re", "Re"],
  "fractional_positions": [[0.000, 0.000, 0.000], [0.762, 0.500, 0.251], [0.244, 0.500, 0.737], [0.514, 0.000, 0.490]],
  "dos_ef_per_ev_fu": 3.3,
  "formation_energy_kj_per_mol_atoms": -1,
  "total_magnetization_mub_per_atom": 0.000,
  "spacegroup": "Pm, No. 6"
}

---

{
  "formula": "AlBiS",
  "functional": "GGA-PBE",
  "state": "relaxed",
  "lattice_angstrom": [[-5.430, 5.430, 3.887], [5.430, -5.430, 3.887], [5.430, 5.430, -3.887]],
  "species": ["Al", "Al", "Al", "Al", "Bi", "Bi", "Bi", "Bi", "S", "S", "S", "S"],
  "fractional_positions": [[0.000, 0.000, 0.500], [0.000, 0.500, 0.000], [0.500, 0.000, 0.000], [0.500, 0.500, 0.500], [0.110, 0.610, 0.720], [0.390, 0.110, 0.500], [0.610, 0.890, 0.500], [0.890, 0.390, 0.280], [0.168, 0.332, 0.500], [0.332, 0.832, 0.163], [0.668, 0.168, 0.837], [0.832, 0.668, 0.500]],
  "dos_ef_per_ev_fu": 1.6,
  "e_form_raw_ev_per_atom": 0.162,
  "total_magnetization_mub_per_atom": 0.000,
  "spacegroup": "I4/mcm, No. 140"
}

---

{
  "formula": "Ga2HI",
  "functional": "GGA-PBE",
  "state": "relaxed",
  "lattice_angstrom": [[-2.747, 2.747, 6.579], [2.747, -2.747, 6.579], [2.747, 2.747, -6.579]],
  "species": ["Ga", "Ga", "Ga", "Ga", "H", "H", "I", "I"],
  "fractional_positions": [[0.375, 0.175, 0.300], [0.825, 0.125, 0.200], [0.875, 0.075, 0.700], [0.925, 0.625, 0.800], [0.000, 0.000, 0.000], [0.750, 0.250, 0.500], [0.250, 0.750, 0.500], [0.500, 0.500, 0.000]],
  "dos_ef_per_ev_fu": 0.4,
  "total_magnetization_mub_per_atom": 0.000,
  "spacegroup": "I-42d, No. 122",
  "dft_energy_ev_per_atom": -2.583
}

---

{
  "formula": "CoPt3N",
  "functional": "GGA-PBE",
  "state": "relaxed",
  "lattice_angstrom": [[4.150, 0.000, 0.000], [0.000, 4.150, 0.000], [0.000, 0.000, 4.150]],
  "species": ["Co", "Pt", "Pt", "Pt", "N"],
  "fractional_positions": [[0.000, 0.000, 0.000], [0.000, 0.500, 0.500], [0.500, 0.000, 0.500], [0.500, 0.500, 0.000], [0.500, 0.500, 0.500]],
  "dos_ef_per_ev_fu": 6.0,
  "e_form_raw_ev_per_atom": 0.677,
  "total_magnetization_mub_per_atom": 0.474,
  "spacegroup": "Pm-3m, No. 221"
}

---

{
  "formula": "Tm3Tl4",
  "functional": "GGA-PBE",
  "state": "relaxed",
  "lattice_angstrom": [[7.066, 4.080, 2.153], [-7.066, 4.080, 2.153], [0.000, -8.159, 2.153]],
  "species": ["Tm", "Tm", "Tm", "Tm", "Tm", "Tm", "Tl", "Tl", "Tl", "Tl", "Tl", "Tl", "Tl", "Tl"],
  "fractional_positions": [[0.013, 0.741, 0.616], [0.259, 0.384, 0.987], [0.384, 0.987, 0.259], [0.616, 0.013, 0.741], [0.741, 0.616, 0.013], [0.987, 0.259, 0.384], [0.000, 0.000, 0.000], [0.105, 0.564, 0.254], [0.254, 0.105, 0.564], [0.436, 0.746, 0.895], [0.500, 0.500, 0.500], [0.564, 0.254, 0.105], [0.746, 0.895, 0.436], [0.895, 0.436, 0.746]],
  "dos_ef_per_ev_fu": 4.2,
  "formation_energy_kj_per_mol_atoms": -25,
  "total_magnetization_mub_per_atom": 0.000,
  "spacegroup": "R-3, No. 148"
}